The following is a DFT calculation (meta-GGA SCAN) of a PBEsol-optimized structure of Cs2TbCuCl6.

Cell: 7.2588 7.2588 7.2588 Å, 60.00 60.00 60.00°
With the nearest neighbours (Å) after each atom.
Positions (direct):
Tb  0.0000  0.0000  0.0000  6 Cl 2.63
Cs  0.7500  0.7500  0.7500  12 Cl 3.63
Cs  0.2500  0.2500  0.2500  12 Cl 3.63
Cl  0.2558  0.7442  0.2558  1 Cu 2.51, 1 Tb 2.63
Cl  0.7442  0.7442  0.2558  1 Cu 2.51, 1 Tb 2.63
Cl  0.7442  0.2558  0.7442  1 Cu 2.51, 1 Tb 2.63
Cl  0.2558  0.2558  0.7442  1 Cu 2.51, 1 Tb 2.63
Cl  0.2558  0.7442  0.7442  1 Cu 2.51, 1 Tb 2.63
Cl  0.7442  0.2558  0.2558  1 Cu 2.51, 1 Tb 2.63
Cu  0.5000  0.5000  0.5000  6 Cl 2.51

Properties
**E**: -20.585 eV/atom
**Fermi-level density of states**: 0.0 states/eV/cell
**Formation energy from raw total energies**: -2.040 eV/atom
**Magnetic moment**: 0.073 μB/f.u.